Entry 1:
VASP calculation (PBE-GGA) on TlBTeI2 after structural relaxation.

- DFT total energy (eV for the cell shown) = -13.09
- E above lowest polymorph (eV per atom) = 0.000
- formation energy from raw total energies (meV/atom) = 438
- N(E_F) (states/eV per atom) = 0.80
- symmetry = P4/mmm (123)

abc: 5.9819 5.9819 4.4945
angles: 90.00 90.00 90.00
Fractional coordinates of all 5 atoms:
I 0.0000 0.5000 0.0000
I 0.5000 0.0000 0.0000
Tl 0.5000 0.5000 0.5000
Te 0.0000 0.0000 0.5000
B 0.0000 0.0000 0.0000

Entry 2:
VASP calculation (PBE-GGA) on Hf5MgTc4 after structural relaxation.

- DFT total energy (eV for the cell shown) = -96.72
- N(E_F) (states/eV per atom) = 0.96
- symmetry = P4/mmm (123)
- formation energy (eV/atom) = -0.390

abc: 3.2907 3.2907 17.0781
angles: 90.00 90.00 90.00
Fractional coordinates of all 10 atoms:
Hf 0.5000 0.5000 0.1257
Hf 0.5000 0.5000 0.3107
Hf 0.5000 0.5000 0.5000
Hf 0.5000 0.5000 0.6893
Hf 0.5000 0.5000 0.8743
Mg 0.0000 0.0000 0.0000
Tc 0.0000 0.0000 0.2098
Tc 0.0000 0.0000 0.4043
Tc 0.0000 0.0000 0.5957
Tc 0.0000 0.0000 0.7902

Entry 3:
VASP calculation (PBE-GGA) on Eu2AgO after structural relaxation.

- DFT total energy (eV for the cell shown) = -33.75
- formation energy from raw total energies (meV/atom) = -1348
- N(E_F) (states/eV per atom) = 0.46
- symmetry = R-3m (166)

abc: 3.7245 3.7245 7.9447
angles: 76.44 76.44 60.00
Fractional coordinates of all 4 atoms:
Eu 0.7279 0.7279 0.8164
Eu 0.2721 0.2721 0.1836
O 0.0000 0.0000 0.0000
Ag 0.5000 0.5000 0.5000

Entry 4:
VASP calculation (PBE-GGA) on Cr2TcB2 after structural relaxation.

- DFT total energy (eV for the cell shown) = -89.42
- N(E_F) (states/eV per atom) = 0.87
- symmetry = P4/mbm (127)
- formation energy (eV/atom) = -0.348

abc: 5.7572 5.7572 2.9138
angles: 90.00 90.00 90.00
Fractional coordinates of all 10 atoms:
Cr 0.1680 0.6680 0.5000
Cr 0.6680 0.8320 0.5000
Cr 0.8320 0.3320 0.5000
Cr 0.3320 0.1680 0.5000
B 0.3860 0.8860 0.0000
B 0.8860 0.6140 0.0000
B 0.6140 0.1140 0.0000
B 0.1140 0.3860 0.0000
Tc 0.0000 0.0000 0.0000
Tc 0.5000 0.5000 0.0000

Entry 5:
VASP calculation (PBE-GGA) on Mg5Tl12In2 after structural relaxation.

- DFT total energy (eV for the cell shown) = -40.90
- N(E_F) (states/eV per atom) = 0.51
- symmetry = C2/m (12)
- formation energy (eV/atom) = 0.050

abc: 6.6386 8.4846 10.6923
angles: 101.37 90.00 113.03
Fractional coordinates of all 19 atoms:
Mg 0.1325 0.2650 0.3197
Mg 0.3715 0.7430 0.1516
Mg 0.0000 0.0000 0.5000
Mg 0.6285 0.2570 0.8484
Mg 0.8675 0.7350 0.6803
Tl 0.9163 0.8325 0.2007
Tl 0.0588 0.5984 0.8784
Tl 0.5396 0.5984 0.8784
Tl 0.0892 0.6581 0.4175
Tl 0.5688 0.6581 0.4175
Tl 0.4428 0.8856 0.6842
Tl 0.5572 0.1144 0.3158
Tl 0.9108 0.3419 0.5825
Tl 0.4312 0.3419 0.5825
Tl 0.9412 0.4016 0.1216
Tl 0.4604 0.4016 0.1216
Tl 0.0837 0.1675 0.7993
In 0.7403 0.0000 0.0000
In 0.2597 0.0000 0.0000

Entry 6:
VASP calculation (PBE-GGA) on TaCrSi2 after structural relaxation.

- DFT total energy (eV for the cell shown) = -32.89
- formation energy from raw total energies (meV/atom) = -142
- N(E_F) (states/eV per atom) = 0.64
- symmetry = I-4m2 (119)

abc: 4.8127 4.8127 4.8127
angles: 134.66 134.62 66.08
Fractional coordinates of all 4 atoms:
Cr 0.2501 0.7501 0.5000
Si 0.0000 0.0000 0.0000
Si 0.7500 0.2500 0.5000
Ta 0.4999 0.4999 0.0000

Entry 7:
VASP calculation (PBE-GGA) on Tb8GeTe3Se3 after structural relaxation.

- DFT total energy (eV for the cell shown) = -82.08
- formation energy from raw total energies (meV/atom) = -1369
- N(E_F) (states/eV per atom) = 0.42
- symmetry = R-3m (166)

abc: 8.3409 8.3405 8.5209
angles: 119.31 90.00 120.00
Fractional coordinates of all 15 atoms:
Tb 0.2612 0.5225 0.2837
Tb 0.7388 0.4775 0.7163
Tb 0.7601 0.5202 0.2770
Tb 0.2399 0.4798 0.7230
Tb 0.7601 0.0169 0.2770
Tb 0.2399 0.9831 0.7230
Tb 0.2568 0.0169 0.2770
Tb 0.7432 0.9831 0.7230
Ge 0.0000 0.0000 0.5000
Te 0.0000 0.0000 0.0000
Te 0.0000 0.5000 0.0000
Te 0.5000 0.5000 0.0000
Se 0.5000 0.0000 0.5000
Se 0.5000 0.5000 0.5000
Se 0.0000 0.5000 0.5000

Entry 8:
VASP calculation (PBE-GGA) on HfV2Sn2 after structural relaxation.

- DFT total energy (eV for the cell shown) = -71.31
- N(E_F) (states/eV per atom) = 1.31
- symmetry = P4/mbm (127)
- formation energy (eV/atom) = 0.109

abc: 7.7667 7.7667 3.1153
angles: 90.00 90.00 90.00
Fractional coordinates of all 10 atoms:
Hf 0.0000 0.0000 0.0000
Hf 0.5000 0.5000 0.0000
Sn 0.1844 0.6844 0.5000
Sn 0.6844 0.8156 0.5000
Sn 0.8156 0.3156 0.5000
Sn 0.3156 0.1844 0.5000
V 0.3921 0.8921 0.0000
V 0.8921 0.6079 0.0000
V 0.6079 0.1079 0.0000
V 0.1079 0.3921 0.0000

Look up the N(E_F) of the first one. 0.80 states/eV per atom

Copy entry 5 word for word.
VASP calculation (PBE-GGA) on Mg5Tl12In2 after structural relaxation.

- DFT total energy (eV for the cell shown) = -40.90
- N(E_F) (states/eV per atom) = 0.51
- symmetry = C2/m (12)
- formation energy (eV/atom) = 0.050

abc: 6.6386 8.4846 10.6923
angles: 101.37 90.00 113.03
Fractional coordinates of all 19 atoms:
Mg 0.1325 0.2650 0.3197
Mg 0.3715 0.7430 0.1516
Mg 0.0000 0.0000 0.5000
Mg 0.6285 0.2570 0.8484
Mg 0.8675 0.7350 0.6803
Tl 0.9163 0.8325 0.2007
Tl 0.0588 0.5984 0.8784
Tl 0.5396 0.5984 0.8784
Tl 0.0892 0.6581 0.4175
Tl 0.5688 0.6581 0.4175
Tl 0.4428 0.8856 0.6842
Tl 0.5572 0.1144 0.3158
Tl 0.9108 0.3419 0.5825
Tl 0.4312 0.3419 0.5825
Tl 0.9412 0.4016 0.1216
Tl 0.4604 0.4016 0.1216
Tl 0.0837 0.1675 0.7993
In 0.7403 0.0000 0.0000
In 0.2597 0.0000 0.0000